Compound: LaYTh2
Source: Alexandria
Functional: PBE
Structure: relaxed

energy above the most stable polymorph in this dataset = 21 meV/atom
D(E_F) = 5.76 states/eV/f.u.
calculated total energy = -0.4785 Ry per atom
E_form = 47 meV/atom

abc: 3.5945 3.5945 35.4704
angles: 90.00 90.00 120.00
Space group R3m (No. 160, hexagonal axes)
Unique sites:
La1 0.0000 0.0000 0.0000 (multiplicity 3)
Y1 0.0000 0.0000 0.1697 (multiplicity 3)
Th1 0.0000 0.0000 0.5838 (multiplicity 3)
Th2 0.0000 0.0000 0.7530 (multiplicity 3)

***

Compound: LiPr2PaN4
Source: Alexandria
Functional: PBE
Structure: relaxed

D(E_F) = 0.44 states/eV/f.u.
calculated total energy = -0.5837 Ry per atom

abc: 6.001 3.687 6.095
angles: 90.00 106.59 90.00
Space group P2/m (No. 10)
Unique sites:
Li1 0.000 0.000 0.000 (multiplicity 1)
Pr1 0.000 0.500 0.500 (multiplicity 1)
Pr2 0.500 0.000 0.500 (multiplicity 1)
Pa1 0.500 0.500 0.000 (multiplicity 1)
N1 0.257 0.000 0.765 (multiplicity 2)
N2 0.298 0.500 0.243 (multiplicity 2)

***

Compound: SmEr2Tm
Source: Alexandria
Functional: PBE
Structure: relaxed

energy above the most stable polymorph in this dataset = 18 meV/atom
D(E_F) = 5.41 states/eV/f.u.
calculated total energy = -0.3347 Ry per atom
E_form = 25 meV/atom

abc: 3.530 3.530 10.004
angles: 90.00 90.00 90.00
Space group P4/mmm (No. 123)
Unique sites:
Sm1 0.000 0.000 0.000 (multiplicity 1)
Er1 0.500 0.500 0.254 (multiplicity 2)
Tm1 0.000 0.000 0.500 (multiplicity 1)

***

Compound: YMo2Se
Source: Alexandria
Functional: PBE
Structure: relaxed

D(E_F) = 3.96 states/eV/f.u.
calculated total energy = -0.5727 Ry per atom

abc: 3.438 5.192 8.796
angles: 90.00 90.00 90.00
Space group Imm2 (No. 44)
Unique sites:
Y1 0.000 0.000 0.000 (multiplicity 2)
Mo1 0.000 0.000 0.498 (multiplicity 2)
Mo2 0.000 0.500 0.788 (multiplicity 2)
Se1 0.000 0.500 0.233 (multiplicity 2)

***

Compound: Tl3CdAg3Br8
Source: Alexandria
Functional: PBE
Structure: relaxed

D(E_F) = 0.00 states/eV/f.u.
calculated total energy = -0.1931 Ry per atom

abc: 14.801 8.486 9.079
angles: 90.00 122.70 90.00
Space group C2/m (No. 12)
Unique sites:
Tl1 0.000 0.000 0.000 (multiplicity 2)
Tl2 0.250 0.250 0.000 (multiplicity 4)
Cd1 0.000 0.000 0.500 (multiplicity 2)
Ag1 0.000 0.500 0.500 (multiplicity 2)
Ag2 0.250 0.250 0.500 (multiplicity 4)
Br1 0.012 0.243 0.297 (multiplicity 8)
Br2 0.229 0.000 0.701 (multiplicity 4)
Br3 0.236 0.500 0.705 (multiplicity 4)

***

Compound: Mg2BeAs2
Source: Alexandria
Functional: PBE
Structure: relaxed

D(E_F) = 1.38 states/eV/f.u.
calculated total energy = -0.2423 Ry per atom
E_form = -54 meV/atom

abc: 6.801 6.801 3.941
angles: 90.00 90.00 90.00
Space group P4/mbm (No. 127)
Unique sites:
Mg1 0.151 0.349 0.000 (multiplicity 4)
Be1 0.000 0.000 0.500 (multiplicity 2)
As1 0.166 0.666 0.500 (multiplicity 4)

***

Compound: TcPt5
Source: Alexandria
Functional: PBE
Structure: relaxed

energy above the most stable polymorph in this dataset = 0 meV/atom
D(E_F) = 7.59 states/eV/f.u.
calculated total energy = -0.5055 Ry per atom
E_form = -117 meV/atom

abc: 2.767 2.767 12.089
angles: 90.00 90.00 90.00
Space group P4/mmm (No. 123)
Unique sites:
Tc1 0.000 0.000 0.000 (multiplicity 1)
Pt1 0.000 0.000 0.330 (multiplicity 2)
Pt2 0.500 0.500 0.157 (multiplicity 2)
Pt3 0.500 0.500 0.500 (multiplicity 1)

***

Compound: ScTc2Br
Source: Alexandria
Functional: PBE
Structure: relaxed

energy above the most stable polymorph in this dataset = 728 meV/atom
D(E_F) = 5.73 states/eV/f.u.
calculated total energy = -0.4870 Ry per atom

abc: 4.336 4.336 7.262
angles: 90.00 90.00 90.00
Space group I-4m2 (No. 119)
Unique sites:
Sc1 0.000 0.000 0.000 (multiplicity 2)
Tc1 0.000 0.000 0.500 (multiplicity 2)
Tc2 0.000 0.500 0.750 (multiplicity 2)
Br1 0.000 0.500 0.250 (multiplicity 2)